A plane-wave DFT calculation with PBE was carried out for a relaxed structure of La2Sm4Y5.

Values from the calculation:
V: 34.13 Å³/atom
ΔE to the lowest computed polymorph: 0 meV/atom
calculated formation energy: 95 meV per atom
spin magnetization: 0.00 Bohr magnetons per cell
total energy: -120.00 eV for the cell shown

abc: 19.804 5.808 6.536
angles: 90.00 92.74 90.00
Space group C2/m (No. 12)
Unique sites:
La1 0.097 0.000 0.040 x4
Sm1 0.030 0.500 0.767 x4
Sm2 0.197 0.000 0.575 x4
Y1 0.000 0.000 0.500 x2
Y2 0.132 0.500 0.376 x4
Y3 0.212 0.500 0.894 x4


A plane-wave DFT calculation with PBE was carried out for a relaxed structure of Ce2NpPt9.

Values from the calculation:
V: 19.00 Å³/atom
ΔE to the lowest computed polymorph: 88 meV/atom
calculated formation energy: -772 meV per atom
spin magnetization: 14.06 Bohr magnetons per cell
total energy: -265.30 eV for the cell shown

abc: 5.4178 5.4178 26.9107
angles: 90.00 90.00 120.00
Space group R-3m (No. 166, hexagonal axes)
Unique sites:
Ce1 0.0000 0.0000 0.1387 x6
Np1 0.0000 0.0000 0.0000 x3
Pt1 0.0000 0.0000 0.3327 x6
Pt2 0.0000 0.0000 0.5000 x3
Pt3 0.0030 0.5015 0.9154 x18


A plane-wave DFT calculation with PBE was carried out for a relaxed structure of Hg2Pd6Pb.

Values from the calculation:
V: 17.67 Å³/atom
calculated formation energy: -139 meV per atom
spin magnetization: 0.00 Bohr magnetons per cell
total energy: -73.44 eV for the cell shown

abc: 8.988 4.235 8.642
angles: 90.00 104.81 90.00
Space group C2/m (No. 12)
Unique sites:
Hg1 0.192 0.000 0.247 x4
Pd1 0.014 0.500 0.339 x4
Pd2 0.156 0.000 0.889 x4
Pd3 0.157 0.000 0.555 x4
Pb1 0.000 0.500 0.000 x2


A plane-wave DFT calculation with PBE was carried out for a relaxed structure of Ac2MgZnSe5.

Values from the calculation:
V: 26.28 Å³/atom
spin magnetization: 0.00 Bohr magnetons per cell
total energy: -170.34 eV for the cell shown

abc: 4.230 18.047 12.393
angles: 90.00 90.00 90.00
Space group Cmc2_1 (No. 36)
Unique sites:
Ac1 0.000 0.116 0.000 x4
Ac2 0.000 0.132 0.616 x4
Mg1 0.000 0.204 0.324 x4
Zn1 0.000 0.442 0.764 x4
Se1 0.000 0.049 0.367 x4
Se2 0.000 0.289 0.971 x4
Se3 0.000 0.312 0.671 x4
Se4 0.000 0.353 0.312 x4
Se5 0.000 0.497 0.087 x4


A plane-wave DFT calculation with PBE was carried out for a relaxed structure of HoTmTl2.

Values from the calculation:
V: 28.57 Å³/atom
ΔE to the lowest computed polymorph: 65 meV/atom
calculated formation energy: -248 meV per atom
spin magnetization: 0.00 Bohr magnetons per cell
total energy: -44.33 eV for the cell shown

abc: 3.7081 3.7081 28.7903
angles: 90.00 90.00 120.00
Space group R-3m (No. 166, hexagonal axes)
Unique sites:
Ho1 0.0000 0.0000 0.0000 x3
Tm1 0.0000 0.0000 0.5000 x3
Tl1 0.0000 0.0000 0.2495 x6


A plane-wave DFT calculation with PBE was carried out for a relaxed structure of AlAs2Ir.

Values from the calculation:
V: 16.58 Å³/atom
calculated formation energy: 167 meV per atom
spin magnetization: 0.00 Bohr magnetons per cell
total energy: -21.23 eV for the cell shown

abc: 2.905 4.670 4.888
angles: 90.00 90.00 90.00
Space group Pmmm (No. 47)
Unique sites:
Al1 0.000 0.000 0.000 x1
As1 0.000 0.500 0.500 x1
As2 0.500 0.000 0.500 x1
Ir1 0.500 0.500 0.000 x1


A plane-wave DFT calculation with PBE was carried out for a relaxed structure of Sm4HoSb5.

Values from the calculation:
V: 31.19 Å³/atom
spin magnetization: 0.00 Bohr magnetons per cell
total energy: -111.37 eV for the cell shown

abc: 9.953 9.953 6.297
angles: 90.00 90.00 90.00
Space group I4/m (No. 87)
Unique sites:
Sm1 0.098 0.700 0.000 x8
Ho1 0.000 0.000 0.500 x2
Sb1 0.000 0.000 0.000 x2
Sb2 0.099 0.704 0.500 x8


A plane-wave DFT calculation with PBE was carried out for a relaxed structure of KTlCd2In2.

Values from the calculation:
V: 30.75 Å³/atom
calculated formation energy: -42 meV per atom
spin magnetization: 0.00 Bohr magnetons per cell
total energy: -11.02 eV for the cell shown

abc: 5.2335 5.2335 7.7783
angles: 90.00 90.00 120.00
Space group P-3m1 (No. 164)
Unique sites:
K1 0.0000 0.0000 0.0000 x1
Tl1 0.0000 0.0000 0.5000 x1
Cd1 0.3333 0.6667 0.2878 x2
In1 0.3333 0.6667 0.7115 x2